# TaRh4W PBE-GGA optimized geometry
data_TaRh4W
_space_group_name_H-M_alt 'P 1'
_space_group_IT_number 1
_cell_length_a 5.079
_cell_length_b 5.079
_cell_length_c 5.079
_cell_angle_alpha 60.00
_cell_angle_beta 60.00
_cell_angle_gamma 60.00
loop_
_space_group_symop_operation_xyz
'x,y,z'
loop_
_atom_site_label
_atom_site_fract_x
_atom_site_fract_y
_atom_site_fract_z
Ta1 0.750 0.750 0.750
Rh1 0.876 0.375 0.375
Rh2 0.375 0.375 0.876
Rh3 0.375 0.876 0.375
Rh4 0.375 0.375 0.375
W1 0.000 0.000 0.000
# Volume = 15.4 A^3/atom
# Energy of formation = 45.1 meV/atom
# Density = 13.92 g cm⁻³
# D(E_F) = 8.71 states/eV per cell
# Calculated total energy = -53.94 eV/cell
# Space group = No. 216


# CsCdBO3 PBE-GGA optimized geometry
data_CsCdBO3
_space_group_name_H-M_alt 'P 1'
_space_group_IT_number 1
_cell_length_a 7.627
_cell_length_b 7.627
_cell_length_c 7.627
_cell_angle_alpha 90.00
_cell_angle_beta 90.00
_cell_angle_gamma 90.00
loop_
_space_group_symop_operation_xyz
'x,y,z'
loop_
_atom_site_label
_atom_site_fract_x
_atom_site_fract_y
_atom_site_fract_z
Cs1 0.637 0.137 0.363
Cs2 0.137 0.363 0.637
Cs3 0.363 0.637 0.137
Cs4 0.863 0.863 0.863
Cd1 0.647 0.353 0.853
Cd2 0.147 0.147 0.147
Cd3 0.853 0.647 0.353
Cd4 0.353 0.853 0.647
B1 0.595 0.595 0.595
B2 0.405 0.095 0.905
B3 0.095 0.905 0.405
B4 0.905 0.405 0.095
O1 0.526 0.085 0.769
O2 0.231 0.026 0.415
O3 0.585 0.731 0.474
O4 0.026 0.415 0.231
O5 0.731 0.474 0.585
O6 0.085 0.769 0.526
O7 0.474 0.585 0.731
O8 0.769 0.526 0.085
O9 0.415 0.231 0.026
O10 0.974 0.915 0.269
O11 0.269 0.974 0.915
O12 0.915 0.269 0.974
# Volume = 18.5 A^3/atom
# Density = 4.55 g cm⁻³
# D(E_F) = 0.00 states/eV per cell
# Calculated total energy = -138.12 eV/cell
# Space group = No. 198


# Dy2SbC PBE-GGA optimized geometry
data_Dy2SbC
_space_group_name_H-M_alt 'P 1'
_space_group_IT_number 1
_cell_length_a 4.999
_cell_length_b 6.720
_cell_length_c 10.180
_cell_angle_alpha 90.00
_cell_angle_beta 90.00
_cell_angle_gamma 90.00
loop_
_space_group_symop_operation_xyz
'x,y,z'
loop_
_atom_site_label
_atom_site_fract_x
_atom_site_fract_y
_atom_site_fract_z
Dy1 0.750 0.163 0.553
Dy2 0.250 0.337 0.053
Dy3 0.250 0.837 0.447
Dy4 0.750 0.663 0.947
Dy5 0.750 0.550 0.282
Dy6 0.250 0.950 0.782
Dy7 0.250 0.450 0.718
Dy8 0.750 0.050 0.218
Sb1 0.750 0.687 0.616
Sb2 0.250 0.813 0.116
Sb3 0.250 0.313 0.384
Sb4 0.750 0.187 0.884
C1 0.750 0.864 0.416
C2 0.250 0.636 0.916
C3 0.250 0.136 0.584
C4 0.750 0.364 0.084
# Volume = 21.4 A^3/atom
# Density = 8.91 g cm⁻³
# D(E_F) = 5.95 states/eV per cell
# Calculated total energy = -99.32 eV/cell
# Space group = No. 62


# KP2Pt PBE-GGA optimized geometry
data_KP2Pt
_space_group_name_H-M_alt 'P 1'
_space_group_IT_number 1
_cell_length_a 7.268
_cell_length_b 7.268
_cell_length_c 6.393
_cell_angle_alpha 55.36
_cell_angle_beta 55.36
_cell_angle_gamma 90.00
loop_
_space_group_symop_operation_xyz
'x,y,z'
loop_
_atom_site_label
_atom_site_fract_x
_atom_site_fract_y
_atom_site_fract_z
P1 0.733 0.125 0.250
P2 0.017 0.625 0.250
P3 0.375 0.267 0.750
P4 0.875 0.983 0.750
K1 0.500 0.500 0.000
K2 0.250 0.750 0.500
Pt1 0.000 0.000 0.000
Pt2 0.750 0.250 0.500
# Volume = 25.1 A^3/atom
# Energy of formation = -199.0 meV/atom
# Density = 4.90 g cm⁻³
# D(E_F) = 4.68 states/eV per cell
# Calculated total energy = -37.51 eV/cell
# Space group = No. 122
# Excess energy over the best structure of this formula in the dataset = 227.5 meV/atom


# Dy2ErBe PBE-GGA optimized geometry
data_Dy2ErBe
_space_group_name_H-M_alt 'P 1'
_space_group_IT_number 1
_cell_length_a 3.405
_cell_length_b 3.405
_cell_length_c 11.527
_cell_angle_alpha 81.51
_cell_angle_beta 81.51
_cell_angle_gamma 60.00
loop_
_space_group_symop_operation_xyz
'x,y,z'
loop_
_atom_site_label
_atom_site_fract_x
_atom_site_fract_y
_atom_site_fract_z
Be1 0.000 0.000 0.000
Dy1 0.085 0.085 0.746
Dy2 0.915 0.915 0.254
Er1 0.500 0.500 0.500
# Volume = 28.5 A^3/atom
# Energy of formation = 676.7 meV/atom
# Density = 7.30 g cm⁻³
# D(E_F) = 3.72 states/eV per cell
# Calculated total energy = -14.79 eV/cell
# Space group = No. 166
# Excess energy over the best structure of this formula in the dataset = 604.7 meV/atom


# RhBrCl3 PBE-GGA optimized geometry
data_RhBrCl3
_space_group_name_H-M_alt 'P 1'
_space_group_IT_number 1
_cell_length_a 4.814
_cell_length_b 4.814
_cell_length_c 4.814
_cell_angle_alpha 90.00
_cell_angle_beta 90.00
_cell_angle_gamma 90.00
loop_
_space_group_symop_operation_xyz
'x,y,z'
loop_
_atom_site_label
_atom_site_fract_x
_atom_site_fract_y
_atom_site_fract_z
Rh1 0.000 0.000 0.000
Br1 0.500 0.500 0.500
Cl1 0.000 0.500 0.000
Cl2 0.000 0.000 0.500
Cl3 0.500 0.000 0.000
# Volume = 22.3 A^3/atom
# Density = 4.30 g cm⁻³
# D(E_F) = 6.69 states/eV per cell
# Calculated total energy = -14.35 eV/cell
# Space group = No. 221
# Excess energy over the best structure of this formula in the dataset = 425.3 meV/atom


# AcCeFeN3 PBE-GGA optimized geometry
data_AcCeFeN3
_space_group_name_H-M_alt 'P 1'
_space_group_IT_number 1
_cell_length_a 3.545
_cell_length_b 7.564
_cell_length_c 7.570
_cell_angle_alpha 99.38
_cell_angle_beta 90.00
_cell_angle_gamma 90.00
loop_
_space_group_symop_operation_xyz
'x,y,z'
loop_
_atom_site_label
_atom_site_fract_x
_atom_site_fract_y
_atom_site_fract_z
Ac1 0.750 0.830 0.807
Ac2 0.250 0.170 0.193
Ce1 0.250 0.647 0.174
Ce2 0.750 0.353 0.826
Fe1 0.250 0.072 0.596
Fe2 0.750 0.928 0.404
N1 0.250 0.848 0.462
N2 0.750 0.868 0.150
N3 0.750 0.417 0.138
N4 0.750 0.152 0.538
N5 0.250 0.583 0.862
N6 0.250 0.132 0.850
# Volume = 16.7 A^3/atom
# Density = 7.71 g cm⁻³
# D(E_F) = 4.71 states/eV per cell
# Calculated total energy = -98.07 eV/cell
# Space group = No. 11


# Y3Ho5Sb2 PBE-GGA optimized geometry
data_Y3Ho5Sb2
_space_group_name_H-M_alt 'P 1'
_space_group_IT_number 1
_cell_length_a 6.336
_cell_length_b 10.484
_cell_length_c 10.484
_cell_angle_alpha 93.81
_cell_angle_beta 72.41
_cell_angle_gamma 72.41
loop_
_space_group_symop_operation_xyz
'x,y,z'
loop_
_atom_site_label
_atom_site_fract_x
_atom_site_fract_y
_atom_site_fract_z
Y1 0.250 0.000 0.000
Y2 0.750 0.000 0.000
Y3 0.366 0.339 0.929
Y4 0.634 0.661 0.071
Y5 0.866 0.929 0.339
Y6 0.134 0.071 0.661
Ho1 0.250 0.500 0.500
Ho2 0.750 0.500 0.500
Ho3 0.508 0.742 0.742
Ho4 0.992 0.258 0.258
Ho5 0.492 0.258 0.258
Ho6 0.008 0.742 0.742
Ho7 0.085 0.583 0.247
Ho8 0.915 0.417 0.753
Ho9 0.585 0.247 0.583
Ho10 0.415 0.753 0.417
Sb1 0.142 0.713 0.004
Sb2 0.858 0.287 0.996
Sb3 0.642 0.004 0.713
Sb4 0.358 0.996 0.287
# Volume = 31.2 A^3/atom
# Density = 7.11 g cm⁻³
# D(E_F) = 24.90 states/eV per cell
# Calculated total energy = -104.05 eV/cell
# Space group = No. 72